This record from Alexandria describes an optimized crystal structure of ZrTl3I. The functional is PBE-GGA.

Geometry as POSCAR:
```
ZrTl3I
1.0
6.220 0.000 0.000
0.000 6.220 0.000
0.000 0.000 6.220
Tl I Zr
3 1 1
Direct
0.000 0.000 0.500
0.000 0.500 0.000
0.500 0.000 0.000
0.000 0.000 0.000
0.500 0.500 0.500
```

Calculated values
V = 241 Å³/cell
energy above the most stable polymorph in this dataset = 582.7 meV/atom
electronic total energy = -12.40 eV/cell
N(E_F) = 6.4 states/eV/f.u.
formation energy from raw total energies = 93 kJ/mol of atoms